1.
Tb7Tm4Cd: relaxed, GGA-PBE.

Fermi-level density of states = 1.357 states/eV/atom
energy of formation = -0.071 eV per formula unit

a b c (Å): 3.537 3.537 33.915
angles (deg): 90.00 90.00 120.00
Fractional positions:
Tb 0.000 0.000 0.000
Tb 0.667 0.333 0.576
Tb 0.333 0.667 0.424
Tb 0.667 0.333 0.831
Tb 0.333 0.667 0.169
Tb 0.000 0.000 0.255
Tb 0.000 0.000 0.745
Tm 0.667 0.333 0.085
Tm 0.333 0.667 0.915
Tm 0.667 0.333 0.340
Tm 0.333 0.667 0.660
Cd 0.000 0.000 0.500

2.
TbTm3Cd2: relaxed, GGA-PBE.

Fermi-level density of states = 0.974 states/eV/atom
energy of formation = -1.163 eV per formula unit

a b c (Å): 3.569 3.569 12.896
angles (deg): 90.00 90.00 90.00
Fractional positions:
Tb 0.500 0.500 0.500
Tm 0.000 0.000 0.000
Tm 0.000 0.000 0.692
Tm 0.000 0.000 0.308
Cd 0.500 0.500 0.848
Cd 0.500 0.500 0.152

3.
Tb2Tm3Cd2: relaxed, GGA-PBE.

Fermi-level density of states = 1.241 states/eV/atom
energy above the most stable polymorph in this dataset = 0 meV per atom
energy of formation = -1.022 eV per formula unit

a b c (Å): 5.337 5.341 8.481
angles (deg): 108.32 90.00 119.97
Fractional positions:
Tb 0.925 0.851 0.275
Tb 0.075 0.149 0.725
Tm 0.500 0.000 0.000
Tm 0.655 0.311 0.466
Tm 0.345 0.689 0.534
Cd 0.787 0.574 0.861
Cd 0.213 0.426 0.139

4.
Tb2TmCd: relaxed, GGA-PBE.

Fermi-level density of states = 1.183 states/eV/atom
energy above the most stable polymorph in this dataset = 104 meV per atom
energy of formation = -0.140 eV per formula unit

a b c (Å): 3.533 3.533 11.085
angles (deg): 80.83 80.83 60.00
Fractional positions:
Tb 0.087 0.087 0.739
Tb 0.246 0.246 0.262
Tm 0.667 0.667 0.999
Cd 0.500 0.500 0.500